{
  "formula": "Tb8FeSb2",
  "functional": "PBE",
  "state": "relaxed",
  "cell": [[9.4817, -2.2904, 0.0000], [9.4817, 2.2904, 0.0000], [-0.9578, 0.0000, 7.1698]],
  "species": ["Tb", "Tb", "Tb", "Tb", "Tb", "Tb", "Tb", "Tb", "Fe", "Sb", "Sb"],
  "fractional_positions": [[0.0030, 0.0030, 0.2811], [0.2163, 0.2163, 0.8418], [0.3647, 0.3647, 0.4679], [0.4058, 0.4058, 0.9859], [0.5942, 0.5942, 0.0141], [0.6353, 0.6353, 0.5321], [0.7837, 0.7837, 0.1582], [0.9970, 0.9970, 0.7189], [0.5000, 0.5000, 0.5000], [0.1812, 0.1812, 0.2716], [0.8188, 0.8188, 0.7284]],
  "space_group": "C2/m (12)",
  "e_tot_ha_per_atom": -0.19274,
  "rho_kg_m3": 8376,
  "vol_a3_per_cell": 311.4,
  "n_ef_per_ev_atom": 1.019
}

{
  "formula": "Ti3Ga",
  "functional": "PBE",
  "state": "relaxed",
  "cell": [[-1.9580, 1.9580, 4.2686], [1.9580, -1.9580, 4.2686], [1.9580, 1.9580, -4.2686]],
  "species": ["Ti", "Ti", "Ti", "Ga"],
  "fractional_positions": [[0.0000, 0.0000, 0.0000], [0.2500, 0.7500, 0.5000], [0.7500, 0.2500, 0.5000], [0.5000, 0.5000, 0.0000]],
  "space_group": "I4/mmm (139)",
  "e_tot_ha_per_atom": -0.25674,
  "rho_kg_m3": 5412,
  "vol_a3_per_cell": 65.5,
  "n_ef_per_ev_atom": 0.990
}

{
  "formula": "MnB3Se",
  "functional": "PBE",
  "state": "relaxed",
  "cell": [[4.0194, 0.0000, 0.0000], [0.0000, 4.0194, 0.0000], [0.0000, 0.0000, 4.0194]],
  "species": ["Mn", "B", "B", "B", "Se"],
  "fractional_positions": [[0.0000, 0.0000, 0.0000], [0.0000, 0.5000, 0.5000], [0.5000, 0.0000, 0.5000], [0.5000, 0.5000, 0.0000], [0.5000, 0.5000, 0.5000]],
  "space_group": "Pm-3m (221)",
  "e_tot_ha_per_atom": -0.15141,
  "rho_kg_m3": 4253,
  "vol_a3_per_cell": 64.9,
  "n_ef_per_ev_atom": 1.338
}

{
  "formula": "RbGaPb",
  "functional": "PBE",
  "state": "relaxed",
  "cell": [[3.7098, -4.8221, 0.0000], [3.7098, 4.8221, 0.0000], [0.0000, 0.0000, 6.8342]],
  "species": ["Rb", "Rb", "Ga", "Ga", "Pb", "Pb"],
  "fractional_positions": [[0.1283, 0.8717, 0.7500], [0.8717, 0.1283, 0.2500], [0.5000, 0.5000, 0.0000], [0.5000, 0.5000, 0.5000], [0.2794, 0.7206, 0.2500], [0.7206, 0.2794, 0.7500]],
  "space_group": "Cmcm (63)",
  "e_tot_ha_per_atom": -0.09154,
  "rho_kg_m3": 4922,
  "vol_a3_per_cell": 244.5,
  "n_ef_per_ev_atom": 0.324
}

{
  "formula": "SrLi2GeI6",
  "functional": "PBE",
  "state": "relaxed",
  "cell": [[8.5344, -6.4743, 0.0000], [8.5344, 6.4743, 0.0000], [-2.7555, 0.0000, 7.8002]],
  "species": ["Sr", "Sr", "Li", "Li", "Li", "Li", "Ge", "Ge", "I", "I", "I", "I", "I", "I", "I", "I", "I", "I", "I", "I"],
  "fractional_positions": [[0.1359, 0.8641, 0.7500], [0.8641, 0.1359, 0.2500], [0.3502, 0.5013, 0.8411], [0.4987, 0.6498, 0.6589], [0.5013, 0.3502, 0.3411], [0.6498, 0.4987, 0.1589], [0.2290, 0.7710, 0.2500], [0.7710, 0.2290, 0.7500], [0.0202, 0.1813, 0.6628], [0.1017, 0.6249, 0.9028], [0.1813, 0.0202, 0.1628], [0.2954, 0.5121, 0.4900], [0.3751, 0.8983, 0.5972], [0.4879, 0.7046, 0.0100], [0.5121, 0.2954, 0.9900], [0.6249, 0.1017, 0.4028], [0.7046, 0.4879, 0.5100], [0.8187, 0.9798, 0.8372], [0.8983, 0.3751, 0.0972], [0.9798, 0.8187, 0.3372]],
  "space_group": "C2/c (15)",
  "e_tot_ha_per_atom": -0.10991,
  "rho_kg_m3": 3605,
  "vol_a3_per_cell": 862.0,
  "n_ef_per_ev_atom": 0.000
}

{
  "formula": "Li2PrTl",
  "functional": "PBE",
  "state": "relaxed",
  "cell": [[3.7179, 0.0000, 0.0000], [0.0000, 3.7179, 0.0000], [0.0000, 0.0000, 7.0144]],
  "species": ["Li", "Li", "Pr", "Tl"],
  "fractional_positions": [[0.0000, 0.0000, 0.2001], [0.0000, 0.0000, 0.7999], [0.5000, 0.5000, 0.5000], [0.5000, 0.5000, 0.0000]],
  "space_group": "P4/mmm (123)",
  "e_tot_ha_per_atom": -0.10390,
  "rho_kg_m3": 6151,
  "vol_a3_per_cell": 97.0,
  "n_ef_per_ev_atom": 0.746
}